Computed, not measured: an optimized crystal structure of Ba2VZn2 at the PBE-GGA level of DFT.

Unit cell a=6.460 b=6.460 c=6.067 alpha=57.83 beta=57.83 gamma=90.00
Atoms (fractional coordinates):
Ba 0.750 0.250 0.500
Ba 0.250 0.750 0.500
Zn 0.654 0.654 0.692
Zn 0.346 0.346 0.308
V 0.000 0.000 0.000

Formation enthalpy at 0 K: 0.36 eV per atom
V: 33.325 Å³/atom
Offset from the most stable computed form: 0.0549 eV/atom
Space-group type: I4/mmm (139)

---

Computed, not measured: an optimized crystal structure of Ba2VZn at the PBE-GGA level of DFT.

Unit cell a=9.038 b=9.038 c=7.257 alpha=51.49 beta=51.49 gamma=90.00
Atoms (fractional coordinates):
Ba 0.117 0.625 0.250
Ba 0.875 0.883 0.750
Ba 0.633 0.125 0.250
Ba 0.375 0.367 0.750
Zn 0.000 0.000 0.000
Zn 0.750 0.250 0.500
V 0.500 0.500 0.000
V 0.250 0.750 0.500

Formation enthalpy at 0 K: 0.70 eV per atom
V: 35.107 Å³/atom
Space-group type: I-42d (122)

---

Copy entry 1 word for word.
Computed, not measured: an optimized crystal structure of Ba2VZn2 at the PBE-GGA level of DFT.

Unit cell a=6.460 b=6.460 c=6.067 alpha=57.83 beta=57.83 gamma=90.00
Atoms (fractional coordinates):
Ba 0.750 0.250 0.500
Ba 0.250 0.750 0.500
Zn 0.654 0.654 0.692
Zn 0.346 0.346 0.308
V 0.000 0.000 0.000

Formation enthalpy at 0 K: 0.36 eV per atom
V: 33.325 Å³/atom
Offset from the most stable computed form: 0.0549 eV/atom
Space-group type: I4/mmm (139)

---

> formation enthalpy at 0 K of number 2 (Ba2VZn)?

0.70 eV per atom

---

> Among the records above, which one has the lowest formation enthalpy at 0 K?

Ba2VZn2